Here is a relaxed structure of La2Sm2H from Alexandria via LeMat-Bulk. Energies are from PBE-GGA.

Cell: 5.184 5.184 5.194 Å, 90.00 90.00 90.00°
Element x y z (fractional)
La (0.000, 0.000, 0.000)
La (0.500, 0.500, 0.000)
Sm (0.000, 0.500, 0.500)
Sm (0.500, 0.000, 0.500)
H (0.000, 0.000, 0.500)

Uncorrected energy in Ry per atom: -0.34596
Density in g/cm³: 6.89
Polymorph energy (0 for the lowest one) in eV/atom: 0.000



Here is a relaxed structure of La4Sm2H from Alexandria via LeMat-Bulk. Energies are from PBE-GGA.

Cell: 9.543 9.543 9.543 Å, 149.23 149.23 44.07°
Element x y z (fractional)
La (0.000, 0.500, 0.500)
La (0.156, 0.156, 0.000)
La (0.500, 0.000, 0.500)
La (0.844, 0.844, 0.000)
Sm (0.359, 0.359, 0.000)
Sm (0.641, 0.641, 0.000)
H (0.000, 0.000, 0.000)

Uncorrected energy in Ry per atom: -0.33686
Density in g/cm³: 6.28



Here is a relaxed structure of La2Sm2H from Alexandria via LeMat-Bulk. Energies are from PBE-GGA.

Cell: 5.229 5.229 5.159 Å, 90.00 90.00 90.00°
Element x y z (fractional)
La (0.000, 0.500, 0.000)
La (0.500, 0.000, 0.000)
Sm (0.000, 0.000, 0.500)
Sm (0.500, 0.500, 0.500)
H (0.000, 0.000, 0.000)

Uncorrected energy in Ry per atom: -0.34561
Density in g/cm³: 6.82
Polymorph energy (0 for the lowest one) in eV/atom: 0.005



Here is a relaxed structure of La5Sm3H12 from Alexandria via LeMat-Bulk. Energies are from PBE-GGA.

Cell: 11.908 11.908 11.908 Å, 109.47 109.47 109.47°
Element x y z (fractional)
La (0.000, 0.000, 0.000)
La (0.000, 0.000, 0.500)
La (0.000, 0.500, 0.000)
La (0.000, 0.500, 0.500)
La (0.125, 0.750, 0.875)
La (0.125, 0.875, 0.250)
La (0.250, 0.125, 0.875)
La (0.250, 0.625, 0.375)
La (0.375, 0.250, 0.625)
La (0.375, 0.625, 0.750)
La (0.500, 0.000, 0.000)
La (0.500, 0.000, 0.500)
La (0.500, 0.500, 0.000)
La (0.500, 0.500, 0.500)
La (0.625, 0.375, 0.250)
La (0.625, 0.750, 0.375)
La (0.750, 0.375, 0.625)
La (0.750, 0.875, 0.125)
La (0.875, 0.125, 0.750)
La (0.875, 0.250, 0.125)
Sm (0.125, 0.250, 0.375)
Sm (0.125, 0.375, 0.750)
Sm (0.250, 0.375, 0.125)
Sm (0.250, 0.875, 0.625)
Sm (0.375, 0.125, 0.250)
Sm (0.375, 0.750, 0.125)
Sm (0.625, 0.250, 0.875)
Sm (0.625, 0.875, 0.750)
Sm (0.750, 0.125, 0.375)
Sm (0.750, 0.625, 0.875)
Sm (0.875, 0.625, 0.250)
Sm (0.875, 0.750, 0.625)
H (0.073, 0.730, 0.657)
H (0.073, 0.842, 0.416)
H (0.074, 0.230, 0.158)
H (0.074, 0.343, 0.916)
H (0.084, 0.658, 0.427)
H (0.084, 0.926, 0.657)
H (0.157, 0.230, 0.573)
H (0.157, 0.426, 0.584)
H (0.158, 0.074, 0.230)
H (0.158, 0.584, 0.927)
H (0.230, 0.158, 0.074)
H (0.230, 0.573, 0.157)
H (0.270, 0.343, 0.927)
H (0.270, 0.426, 0.342)
H (0.342, 0.270, 0.426)
H (0.342, 0.573, 0.916)
H (0.343, 0.916, 0.074)
H (0.343, 0.927, 0.270)
H (0.416, 0.073, 0.842)
H (0.416, 0.843, 0.574)
H (0.426, 0.342, 0.270)
H (0.426, 0.584, 0.157)
H (0.427, 0.084, 0.658)
H (0.427, 0.843, 0.770)
H (0.573, 0.157, 0.230)
H (0.573, 0.916, 0.342)
H (0.574, 0.416, 0.843)
H (0.574, 0.658, 0.730)
H (0.584, 0.157, 0.426)
H (0.584, 0.927, 0.158)
H (0.657, 0.073, 0.730)
H (0.657, 0.084, 0.926)
H (0.658, 0.427, 0.084)
H (0.658, 0.730, 0.574)
H (0.730, 0.574, 0.658)
H (0.730, 0.657, 0.073)
H (0.770, 0.427, 0.843)
H (0.770, 0.842, 0.926)
H (0.842, 0.416, 0.073)
H (0.842, 0.926, 0.770)
H (0.843, 0.574, 0.416)
H (0.843, 0.770, 0.427)
H (0.916, 0.074, 0.343)
H (0.916, 0.342, 0.573)
H (0.926, 0.657, 0.084)
H (0.926, 0.770, 0.842)
H (0.927, 0.158, 0.584)
H (0.927, 0.270, 0.343)

Uncorrected energy in Ry per atom: -0.32179
Density in g/cm³: 5.92



Here is a relaxed structure of LaSmH2 from Alexandria via LeMat-Bulk. Energies are from PBE-GGA.

Cell: 6.543 6.543 6.543 Å, 31.97 31.97 31.97°
Element x y z (fractional)
La (0.000, 0.000, 0.000)
Sm (0.176, 0.176, 0.176)
H (0.582, 0.582, 0.582)
H (0.771, 0.771, 0.771)

Uncorrected energy in Ry per atom: -0.32356
Density in g/cm³: 6.93
Polymorph energy (0 for the lowest one) in eV/atom: 0.098



Here is a relaxed structure of La4Sm2Sn3H2 from Alexandria via LeMat-Bulk. Energies are from PBE-GGA.

Cell: 13.545 13.545 13.545 Å, 159.41 159.41 29.29°
Element x y z (fractional)
La (0.084, 0.584, 0.500)
La (0.416, 0.916, 0.500)
La (0.584, 0.084, 0.500)
La (0.916, 0.416, 0.500)
Sm (0.202, 0.202, 0.000)
Sm (0.798, 0.798, 0.000)
Sn (0.323, 0.323, 0.000)
Sn (0.500, 0.500, 0.000)
Sn (0.677, 0.677, 0.000)
H (0.108, 0.108, 0.000)
H (0.892, 0.892, 0.000)

Uncorrected energy in Ry per atom: -0.36036
Density in g/cm³: 6.56



Here is a relaxed structure of La2TbSmH from Alexandria via LeMat-Bulk. Energies are from PBE-GGA.

Cell: 5.220 5.220 5.094 Å, 90.00 90.00 90.00°
Element x y z (fractional)
La (0.000, 0.500, 0.000)
La (0.500, 0.000, 0.000)
Tb (0.000, 0.000, 0.500)
Sm (0.500, 0.500, 0.500)
H (0.000, 0.000, 0.000)

Uncorrected energy in Ry per atom: -0.34428
Density in g/cm³: 7.04



Here is a relaxed structure of LaTbSm2H from Alexandria via LeMat-Bulk. Energies are from PBE-GGA.

Cell: 5.124 5.124 5.105 Å, 90.00 90.00 90.00°
Element x y z (fractional)
La (0.000, 0.000, 0.000)
Tb (0.500, 0.500, 0.000)
Sm (0.000, 0.500, 0.500)
Sm (0.500, 0.000, 0.500)
H (0.500, 0.500, 0.500)

Uncorrected energy in Ry per atom: -0.34117
Density in g/cm³: 7.43



Here is a relaxed structure of La2Sm4Tl3H2 from Alexandria via LeMat-Bulk. Energies are from PBE-GGA.

Cell: 13.137 13.137 13.137 Å, 158.47 158.47 30.63°
Element x y z (fractional)
La (0.198, 0.198, 0.000)
La (0.802, 0.802, 0.000)
Sm (0.083, 0.583, 0.500)
Sm (0.417, 0.917, 0.500)
Sm (0.583, 0.083, 0.500)
Sm (0.917, 0.417, 0.500)
Tl (0.330, 0.330, 0.000)
Tl (0.500, 0.500, 0.000)
Tl (0.670, 0.670, 0.000)
H (0.099, 0.099, 0.000)
H (0.901, 0.901, 0.000)

Uncorrected energy in Ry per atom: -0.30807
Density in g/cm³: 8.13



Here is a relaxed structure of LaSmYH from Alexandria via LeMat-Bulk. Energies are from PBE-GGA.

Cell: 4.540 4.540 10.059 Å, 90.00 90.00 90.00°
Element x y z (fractional)
La (0.250, 0.750, 0.000)
La (0.750, 0.250, 0.000)
Sm (0.250, 0.250, 0.255)
Sm (0.750, 0.750, 0.745)
Y (0.250, 0.250, 0.587)
Y (0.750, 0.750, 0.413)
H (0.250, 0.750, 0.500)
H (0.750, 0.250, 0.500)

Uncorrected energy in Ry per atom: -0.34737
Density in g/cm³: 6.07



Here is a relaxed structure of LaSm2YH from Alexandria via LeMat-Bulk. Energies are from PBE-GGA.

Cell: 5.130 5.130 5.100 Å, 90.00 90.00 90.00°
Element x y z (fractional)
La (0.000, 0.000, 0.000)
Sm (0.000, 0.500, 0.500)
Sm (0.500, 0.000, 0.500)
Y (0.500, 0.500, 0.000)
H (0.500, 0.500, 0.500)

Uncorrected energy in Ry per atom: -0.36799
Density in g/cm³: 6.55



Here is a relaxed structure of LaSnH3 from Alexandria via LeMat-Bulk. Energies are from PBE-GGA.

Cell: 4.114 4.114 4.114 Å, 90.00 90.00 90.00°
Element x y z (fractional)
La (0.000, 0.000, 0.000)
Sn (0.500, 0.500, 0.500)
H (0.000, 0.500, 0.500)
H (0.500, 0.000, 0.500)
H (0.500, 0.500, 0.000)

Uncorrected energy in Ry per atom: -0.27028
Density in g/cm³: 6.22
Polymorph energy (0 for the lowest one) in eV/atom: 0.105



Here is a relaxed structure of LaSnH3 from Alexandria via LeMat-Bulk. Energies are from PBE-GGA.

Cell: 4.387 4.387 4.387 Å, 90.00 90.00 90.00°
Element x y z (fractional)
La (0.000, 0.000, 0.000)
Sn (0.500, 0.500, 0.500)
H (0.000, 0.000, 0.500)
H (0.000, 0.500, 0.000)
H (0.500, 0.000, 0.000)

Uncorrected energy in Ry per atom: -0.27801
Density in g/cm³: 5.13
Polymorph energy (0 for the lowest one) in eV/atom: 0.000



Here is a relaxed structure of LaSn3H from Alexandria via LeMat-Bulk. Energies are from PBE-GGA.

Cell: 4.844 4.844 4.844 Å, 90.00 90.00 90.00°
Element x y z (fractional)
La (0.000, 0.000, 0.000)
Sn (0.000, 0.500, 0.500)
Sn (0.500, 0.000, 0.500)
Sn (0.500, 0.500, 0.000)
H (0.500, 0.500, 0.500)

Uncorrected energy in Ry per atom: -0.32017
Density in g/cm³: 7.25
Polymorph energy (0 for the lowest one) in eV/atom: 0.000



Here is a relaxed structure of La4Sn3H2 from Alexandria via LeMat-Bulk. Energies are from PBE-GGA.

Cell: 8.683 8.683 6.927 Å, 101.34 101.34 70.50°
Element x y z (fractional)
La (0.113, 0.676, 0.963)
La (0.233, 0.381, 0.404)
La (0.324, 0.887, 0.537)
La (0.381, 0.233, 0.904)
La (0.619, 0.767, 0.096)
La (0.676, 0.113, 0.463)
La (0.767, 0.619, 0.596)
La (0.887, 0.324, 0.037)
Sn (0.010, 0.233, 0.584)
Sn (0.233, 0.010, 0.084)
Sn (0.493, 0.507, 0.750)
Sn (0.507, 0.493, 0.250)
Sn (0.767, 0.990, 0.916)
Sn (0.990, 0.767, 0.416)
H (0.139, 0.412, 0.061)
H (0.412, 0.139, 0.561)
H (0.588, 0.861, 0.439)
H (0.861, 0.588, 0.939)

Uncorrected energy in Ry per atom: -0.36258
Density in g/cm³: 6.35



Here is a relaxed structure of La3SnH from Alexandria via LeMat-Bulk. Energies are from PBE-GGA.

Cell: 5.075 5.075 5.075 Å, 90.00 90.00 90.00°
Element x y z (fractional)
La (0.000, 0.000, 0.500)
La (0.000, 0.500, 0.000)
La (0.500, 0.000, 0.000)
Sn (0.500, 0.500, 0.500)
H (0.000, 0.000, 0.000)

Uncorrected energy in Ry per atom: -0.36418
Density in g/cm³: 6.81
Polymorph energy (0 for the lowest one) in eV/atom: 0.000



Here is a relaxed structure of La7Sn4H4 from Alexandria via LeMat-Bulk. Energies are from PBE-GGA.

Cell: 11.432 11.432 11.432 Å, 94.19 94.19 148.64°
Element x y z (fractional)
La (0.000, 0.287, 0.287)
La (0.000, 0.713, 0.713)
La (0.110, 0.500, 0.610)
La (0.244, 0.244, 0.000)
La (0.287, 0.000, 0.287)
La (0.295, 0.295, 0.589)
La (0.295, 0.705, 0.000)
La (0.500, 0.110, 0.610)
La (0.500, 0.890, 0.390)
La (0.705, 0.295, 0.000)
La (0.705, 0.705, 0.411)
La (0.713, 0.000, 0.713)
La (0.756, 0.756, 0.000)
La (0.890, 0.500, 0.390)
Sn (0.141, 0.141, 0.282)
Sn (0.141, 0.859, 0.000)
Sn (0.311, 0.500, 0.811)
Sn (0.500, 0.311, 0.811)
Sn (0.500, 0.689, 0.189)
Sn (0.689, 0.500, 0.189)
Sn (0.859, 0.141, 0.000)
Sn (0.859, 0.859, 0.718)
H (0.125, 0.625, 0.250)
H (0.125, 0.875, 0.500)
H (0.375, 0.625, 0.500)
H (0.375, 0.875, 0.750)
H (0.625, 0.125, 0.250)
H (0.625, 0.375, 0.500)
H (0.875, 0.125, 0.500)
H (0.875, 0.375, 0.750)

Uncorrected energy in Ry per atom: -0.34911
Density in g/cm³: 6.44



Here is a relaxed structure of La7Sn3H2 from Alexandria via LeMat-Bulk. Energies are from PBE-GGA.

Cell: 13.585 13.585 4.755 Å, 90.00 90.00 158.47°
Element x y z (fractional)
La (0.000, 0.000, 0.000)
La (0.094, 0.906, 0.500)
La (0.208, 0.792, 0.000)
La (0.394, 0.606, 0.000)
La (0.606, 0.394, 0.000)
La (0.792, 0.208, 0.000)
La (0.906, 0.094, 0.500)
Sn (0.308, 0.692, 0.500)
Sn (0.500, 0.500, 0.500)
Sn (0.692, 0.308, 0.500)
H (0.112, 0.888, 0.000)
H (0.888, 0.112, 0.000)

Uncorrected energy in Ry per atom: -0.36738
Density in g/cm³: 6.86



Here is a relaxed structure of La8Sn4H from Alexandria via LeMat-Bulk. Energies are from PBE-GGA.

Cell: 4.545 5.022 16.915 Å, 90.00 90.00 90.00°
Element x y z (fractional)
La (0.000, 0.000, 0.000)
La (0.000, 0.000, 0.313)
La (0.000, 0.500, 0.179)
La (0.000, 0.500, 0.498)
La (0.500, 0.000, 0.499)
La (0.500, 0.000, 0.817)
La (0.500, 0.500, 0.682)
La (0.500, 0.500, 0.997)
Sn (0.000, 0.000, 0.648)
Sn (0.000, 0.500, 0.851)
Sn (0.500, 0.000, 0.146)
Sn (0.500, 0.500, 0.351)
H (0.000, 0.000, 0.455)

Uncorrected energy in Ry per atom: -0.37706
Density in g/cm³: 6.83



Here is a relaxed structure of LaSn2H2 from Alexandria via LeMat-Bulk. Energies are from PBE-GGA.

Cell: 6.519 6.519 4.728 Å, 90.00 90.00 90.00°
Element x y z (fractional)
La (0.000, 0.000, 0.000)
La (0.500, 0.500, 0.000)
Sn (0.177, 0.323, 0.500)
Sn (0.323, 0.823, 0.500)
Sn (0.677, 0.177, 0.500)
Sn (0.823, 0.677, 0.500)
H (0.191, 0.309, 0.000)
H (0.309, 0.809, 0.000)
H (0.691, 0.191, 0.000)
H (0.809, 0.691, 0.000)

Uncorrected energy in Ry per atom: -0.30564
Density in g/cm³: 6.25